CaRe2Ni | PBEsol | relaxed

The structure in POSCAR format:
```
CaRe2Ni
1.0
0.000 3.098 3.098
3.098 0.000 3.098
3.098 3.098 0.000
Ca Re Ni
1 2 1
Direct
0.000 0.000 0.000
0.250 0.250 0.250
0.750 0.750 0.750
0.500 0.500 0.500
```

Computed properties:
**Energy relative to the elements**: 4.79 eV per formula unit
**SG**: Fm-3m
**Total magnetization**: 0.00 Bohr magnetons per cell
**Fermi-level density of states**: 5.221 states/eV/cell